Computed, not measured: an optimized crystal structure of SmGa4Co at the PBE level of DFT.

- Crystal system: orthorhombic
- VASP energy: -4.50 eV/atom

Cell: 4.134 15.693 6.484 Å, 90.00 90.00 90.00°
Space group Cmcm (No. 63)
Unique sites:
Sm  0.000  0.117  0.250
Ga  0.000  0.076  0.750
Ga  0.000  0.311  0.051
Ga  0.000  0.500  0.000
Co  0.000  0.224  0.750

Computed, not measured: an optimized crystal structure of LiLa2ReO6 at the PBE level of DFT.

- Crystal system: monoclinic
- VASP energy: -7.99 eV/atom

Cell: 5.552 5.674 9.575 Å, 90.00 124.98 90.00°
Space group P2_1/c (No. 14)
Unique sites:
Li  0.000  0.000  0.000
La  0.238  0.051  0.748
Re  0.500  0.000  0.500
O  0.168  0.197  0.457
O  0.259  0.716  0.453
O  0.341  0.021  0.255

Computed, not measured: an optimized crystal structure of Sc4ZnC3 at the PBE level of DFT.

- Crystal system: hexagonal
- VASP energy: -7.11 eV/atom

Cell: 3.3472 3.3472 25.1195 Å, 90.00 90.00 120.00°
Space group P6_3/mmc (No. 194)
Unique sites:
Sc  0.0000  0.0000  0.1534
Sc  0.3333  0.6667  0.0531
Zn  0.3333  0.6667  0.2500
C  0.0000  0.0000  0.0000
C  0.3333  0.6667  0.6131

Computed, not measured: an optimized crystal structure of MgZrCuGe at the PBE level of DFT.

- Energy above the most stable polymorph in this dataset: 110 meV/atom
- Crystal system: cubic

Cell: 6.578 6.578 6.578 Å, 90.00 90.00 90.00°
Space group F-43m (No. 216)
Unique sites:
Mg  0.000  0.000  0.000
Zr  0.250  0.250  0.750
Cu  0.000  0.000  0.500
Ge  0.250  0.250  0.250

Computed, not measured: an optimized crystal structure of BaNbB4 at the PBE level of DFT.

- Energy above the most stable polymorph in this dataset: 580 meV/atom
- Crystal system: orthorhombic

Cell: 3.147 5.772 8.147 Å, 90.00 90.00 90.00°
Space group Immm (No. 71)
Unique sites:
Ba  0.000  0.000  0.000
Nb  0.000  0.000  0.500
B  0.000  0.338  0.238

Computed, not measured: an optimized crystal structure of PdI4 at the PBE level of DFT.

- Energy above the most stable polymorph in this dataset: 9 meV/atom
- Crystal system: monoclinic

Cell: 7.167 7.727 13.918 Å, 90.00 99.56 90.00°
Space group P2/c (No. 13)
Unique sites:
Pd  0.215  0.180  0.315
I  0.000  0.495  0.250
I  0.105  0.036  0.141
I  0.284  0.339  0.492
I  0.420  0.111  0.884
I  0.500  0.353  0.250

Computed, not measured: an optimized crystal structure of CsLiNiW at the PBE level of DFT.

- Energy above the most stable polymorph in this dataset: 0 meV/atom
- Crystal system: cubic

Cell: 6.629 6.629 6.629 Å, 90.00 90.00 90.00°
Space group F-43m (No. 216)
Unique sites:
Cs  0.000  0.000  0.000
Li  0.250  0.250  0.250
Ni  0.000  0.000  0.500
W  0.250  0.250  0.750

Computed, not measured: an optimized crystal structure of FeNiB4 at the PBE level of DFT.

- Energy above the most stable polymorph in this dataset: 0 meV/atom
- Crystal system: orthorhombic

Cell: 2.987 5.200 5.764 Å, 90.00 90.00 90.00°
Space group Immm (No. 71)
Unique sites:
Fe  0.000  0.000  0.000
Ni  0.000  0.000  0.500
B  0.000  0.333  0.254

Computed, not measured: an optimized crystal structure of ZnGaCuIr at the PBE level of DFT.

- Energy above the most stable polymorph in this dataset: 214 meV/atom
- Crystal system: cubic

Cell: 6.055 6.055 6.055 Å, 90.00 90.00 90.00°
Space group F-43m (No. 216)
Unique sites:
Zn  0.000  0.000  0.000
Ga  0.250  0.250  0.250
Cu  0.000  0.000  0.500
Ir  0.250  0.250  0.750

Computed, not measured: an optimized crystal structure of Na4AlCu2Si at the PBE level of DFT.

- Crystal system: tetragonal
- VASP energy: -2.50 eV/atom

Cell: 4.653 4.653 6.610 Å, 90.00 90.00 90.00°
Space group P-4m2 (No. 115)
Unique sites:
Na  0.000  0.000  0.000
Na  0.000  0.500  0.242
Na  0.500  0.500  0.500
Al  0.000  0.000  0.500
Cu  0.000  0.500  0.760
Si  0.500  0.500  0.000

Computed, not measured: an optimized crystal structure of TbHo2CuSn3Ir2 at the PBE level of DFT.

- Crystal system: orthorhombic
- VASP energy: -5.98 eV/atom

Cell: 3.876 13.061 7.523 Å, 90.00 90.00 90.00°
Space group Amm2 (No. 38)
Unique sites:
Tb  0.000  0.000  0.000
Ho  0.000  0.203  0.609
Cu  0.000  0.000  0.407
Sn  0.500  0.000  0.666
Sn  0.500  0.130  0.276
Ir  0.500  0.168  0.906

Computed, not measured: an optimized crystal structure of TmB2 at the PBE level of DFT.

- Energy above the most stable polymorph in this dataset: 3501 meV/atom
- Crystal system: cubic

Cell: 11.586 11.586 11.586 Å, 90.00 90.00 90.00°
Space group Fd-3m (No. 227, origin choice 2)
Unique sites:
Tm  0.125  0.125  0.125
B  0.000  0.000  0.000